The following is a DFT calculation (PBE) of a geometry-optimized YZrSe3 structure.

Lattice parameters (Å, degrees): 5.1569 5.1569 5.1569 90.00 90.00 90.00
With the nearest neighbours (Å) after each atom.
Fractional coordinates of all 5 atoms:
Se 0.0000 0.5000 0.0000  2 Zr 2.58
Zr 0.0000 0.0000 0.0000  6 Se 2.58
Se 0.5000 0.0000 0.0000  2 Zr 2.58
Se 0.0000 0.0000 0.5000  2 Zr 2.58
Y 0.5000 0.5000 0.5000  12 Se 3.65

The value obtained for the formation energy without anion corrections is -933 meV/atom. The calculation puts the energy above the most stable polymorph in this dataset at 611 meV per atom.